Below is a relaxed Ac2CePdS5 crystal, with properties calculated at the PBE-GGA level.

a b c (Å): 4.0881 16.9447 12.5467
angles (deg): 90.00 90.00 90.00
Closest atoms and distances in Å follow each position.
Space group Cmc2_1 (No. 36)
One atom of each set of equivalent atoms:
Ac (0.0000, 0.1141, 0.0000) [4 per cell]  8 S 3.03-3.26
Ac (0.0000, 0.1195, 0.3496) [4 per cell]  8 S 3.00-3.22
Ce (0.0000, 0.1765, 0.6765) [4 per cell]  6 S 2.71-2.85
Pd (0.0000, 0.4450, 0.0759) [4 per cell]  4 S 2.44-2.46
S (0.0000, 0.0166, 0.6705) [4 per cell]  2 Pd 2.45, 1 Ce 2.71
S (0.0000, 0.3037, 0.3329) [4 per cell]  2 Ce 2.85, 1 Ac 3.13
S (0.0000, 0.3057, 0.0198) [4 per cell]  1 Pd 2.46
S (0.0000, 0.3413, 0.6736) [4 per cell]  1 Ce 2.79, 4 Ac 3.08
S (0.0000, 0.4952, 0.3991) [4 per cell]  1 Pd 2.44

Formation energy without anion corrections in eV/atom: -1.7948

Below is a relaxed Ac2CeSb3Pd4 crystal, with properties calculated at the PBE-GGA level.

a b c (Å): 4.6652 4.6652 11.5290
angles (deg): 90.00 90.00 90.00
Closest atoms and distances in Å follow each position.
Space group P-4m2 (No. 115)
One atom of each set of equivalent atoms:
Ac (0.0000, 0.5000, 0.2157) [2 per cell]  8 Pd 3.41-3.67, 4 Sb 3.46
Ce (0.0000, 0.0000, 0.5000) [1 per cell]  4 Pd 2.87
Sb (0.0000, 0.5000, 0.8748) [2 per cell]  5 Pd 2.64-2.74
Sb (0.5000, 0.5000, 0.5000) [1 per cell]  4 Pd 2.87
Pd (0.0000, 0.0000, 0.0000) [1 per cell]  4 Sb 2.74
Pd (0.0000, 0.5000, 0.6454) [2 per cell]  3 Sb 2.64-2.87, 2 Ce 2.87
Pd (0.5000, 0.5000, 0.0000) [1 per cell]  4 Sb 2.74

Formation energy without anion corrections in eV/atom: -0.9034